1.
4
Lattice="2.075 1.198 6.495 -2.075 1.198 6.495 0.000 -2.396 6.495" Properties=species:S:1:pos:R:3 comment="SbTeAu2 PBE relaxed" raw_formation_energy_mev_per_atom=-38 polymorph_energy_mev_per_atom=0.0 pbc="T T T"
Sb 0.000 0.000 0.000
Te 0.000 0.000 9.742
Au 0.000 0.000 4.910
Au 0.000 0.000 14.575

---

2.
6
Lattice="3.804 0.000 0.000 0.000 4.111 0.000 -1.762 0.000 6.235" Properties=species:S:1:pos:R:3 comment="TlHPd PBE relaxed" polymorph_energy_mev_per_atom=95.3 pbc="T T T"
Tl 0.054 1.028 1.531
Tl 1.988 3.083 4.704
H 0.050 1.028 3.603
H 1.992 3.083 2.632
Pd 0.083 1.028 5.273
Pd 1.959 3.083 0.963

---

3.
4
Lattice="0.000 3.330 3.330 3.330 0.000 3.330 3.330 3.330 0.000" Properties=species:S:1:pos:R:3 comment="TbInIrRu PBE relaxed" ef_mev_per_atom=-322.6 pbc="T T T"
Tb 0.000 0.000 0.000
In 3.330 3.330 3.330
Ir 1.665 1.665 1.665
Ru 4.994 4.994 4.994

---

4.
5
Lattice="5.563 0.000 0.000 0.000 5.563 0.000 0.000 0.000 5.563" Properties=species:S:1:pos:R:3 comment="PPbI3 PBE relaxed" raw_formation_energy_mev_per_atom=167 polymorph_energy_mev_per_atom=0.0 pbc="T T T"
P 0.000 0.000 0.000
Pb 2.781 2.781 2.781
I 0.000 0.000 2.781
I 0.000 2.781 0.000
I 2.781 0.000 0.000

---

5.
4
Lattice="2.591 0.000 0.000 0.000 4.629 0.000 0.000 0.000 4.858" Properties=species:S:1:pos:R:3 comment="Li2TaFe PBE relaxed" polymorph_energy_mev_per_atom=377.8 ef_mev_per_atom=437.0 pbc="T T T"
Li 0.000 0.000 1.144
Li 0.000 0.000 3.714
Ta 1.296 2.315 2.429
Fe 1.296 2.315 0.000

---

6.
9
Lattice="6.857 -2.425 0.000 6.857 2.425 0.000 -1.487 0.000 7.430" Properties=species:S:1:pos:R:3 comment="HfTa2Se6 PBE relaxed" raw_formation_energy_mev_per_atom=-611 polymorph_energy_mev_per_atom=351.3 pbc="T T T"
Hf 0.000 0.000 0.000
Ta 2.341 0.000 4.731
Ta 9.886 0.000 2.698
Se 0.017 0.000 5.261
Se 2.371 0.000 2.166
Se 4.109 0.000 6.641
Se 8.118 0.000 0.789
Se 9.856 0.000 5.263
Se 12.210 0.000 2.168

---

7.
11
Lattice="7.866 -3.220 0.000 7.866 3.220 0.000 -1.724 0.000 6.923" Properties=species:S:1:pos:R:3 comment="Ce5MgPb5 PBE relaxed" ef_mev_per_atom=-75.0 pbc="T T T"
Ce 0.000 0.000 0.000
Ce 5.069 0.000 0.972
Ce 4.316 0.000 5.171
Ce 9.693 0.000 1.752
Ce 8.939 0.000 5.951
Mg -0.862 0.000 3.462
Pb 1.145 0.000 5.635
Pb 2.165 0.000 2.541
Pb 7.004 0.000 3.462
Pb 11.843 0.000 4.382
Pb 12.864 0.000 1.288

---

8.
4
Lattice="0.000 3.286 3.286 3.286 0.000 3.286 3.286 3.286 0.000" Properties=species:S:1:pos:R:3 comment="LuGaCuAg PBE relaxed" ef_mev_per_atom=-291.6 pbc="T T T"
Lu 0.000 0.000 0.000
Ga 3.286 3.286 3.286
Cu 1.643 1.643 1.643
Ag 4.929 4.929 4.929

---

9.
4
Lattice="3.537 -2.042 0.000 3.537 2.042 0.000 -2.371 0.000 7.595" Properties=species:S:1:pos:R:3 comment="ZnCdPBr PBE relaxed" raw_formation_energy_mev_per_atom=-380 pbc="T T T"
Zn 0.000 0.000 0.000
Cd 2.337 0.000 5.024
P 2.345 0.000 7.497
Br -0.019 0.000 3.481

---

10.
4
Lattice="0.000 3.847 3.847 3.847 0.000 3.847 3.847 3.847 0.000" Properties=species:S:1:pos:R:3 comment="CrSbI2 PBE relaxed" raw_formation_energy_mev_per_atom=595 polymorph_energy_mev_per_atom=0.0 pbc="T T T"
Cr 0.000 0.000 0.000
Sb 3.847 3.847 3.847
I 1.923 1.923 1.923
I 5.770 5.770 5.770

---

11.
10
Lattice="4.609 0.000 0.000 0.000 4.609 0.000 0.000 0.000 12.343" Properties=species:S:1:pos:R:3 comment="Ac2NdSn4Pt3 PBE relaxed" ef_mev_per_atom=-832.5 pbc="T T T"
Ac 0.000 2.305 2.837
Ac 2.305 0.000 9.506
Nd 0.000 0.000 6.171
Sn 0.000 0.000 0.000
Sn 0.000 2.305 8.175
Sn 2.305 0.000 4.167
Sn 2.305 2.305 0.000
Pt 0.000 2.305 10.859
Pt 2.305 0.000 1.484
Pt 2.305 2.305 6.171

---

12.
4
Lattice="0.000 3.469 3.469 3.469 0.000 3.469 3.469 3.469 0.000" Properties=species:S:1:pos:R:3 comment="YHoMnRu PBE relaxed" ef_mev_per_atom=-74.7 pbc="T T T"
Y 0.000 0.000 0.000
Ho 3.469 3.469 3.469
Mn 5.204 5.204 5.204
Ru 1.735 1.735 1.735